Here is PrTlGe2 after structural relaxation from the Alexandria database. Energies are from PBE-GGA.

abc: 7.830 7.830 7.830
angles: 36.69 36.69 36.69
Element x y z (fractional)
1 Pr 0.000 0.000 0.000
2 Tl 0.500 0.500 0.500
3 Ge 0.377 0.377 0.377
4 Ge 0.623 0.623 0.623

Properties
Density of states at the Fermi level in states/eV per cell: 3.12
Total magnetic moment in μB/f.u.: 0.00
Calculated total energy in eV per atom: -3.882
DFT formation energy in meV per atom: 213